This record from Alexandria describes a relaxed structure of BeAlSb2. The functional is PBE.

- Relative energy among the computed polymorphs: 278.3 meV per atom
- Mass density: 5.4 g/cm3
- Formation energy (no corrections): 0.36 eV per atom
- VASP energy: -3.57 eV/atom

```
data_BeAlSb2
_chemical_formula_sum 'Be1 Al1 Sb2'
_space_group_name_H-M_alt 'P 4 m m'
_space_group_IT_number 99
_space_group_name_Hall 'P 4 -2'
_cell_length_a 3.018
_cell_length_b 3.018
_cell_length_c 9.353
_cell_angle_alpha 90.00
_cell_angle_beta 90.00
_cell_angle_gamma 90.00
loop_
_atom_site_label
_atom_site_type_symbol
_atom_site_fract_x
_atom_site_fract_y
_atom_site_fract_z
_atom_site_occupancy
Be1 Be 0.000 0.000 0.000 1
Al1 Al 0.500 0.500 0.850 1
Sb1 Sb 0.000 0.000 0.586 1
Sb2 Sb 0.500 0.500 0.214 1
```